Entry 1:
A plane-wave DFT calculation with PBE was carried out for a geometry-optimized TaAu3Br structure.

```
TaAu3Br
1.0
5.0026 0.0000 0.0000
0.0000 5.0026 0.0000
0.0000 0.0000 5.0026
Ta Au Br
1 3 1
direct
0.0000 0.0000 0.0000
0.0000 0.5000 0.5000
0.5000 0.0000 0.5000
0.5000 0.5000 0.0000
0.5000 0.5000 0.5000
```

Properties
- raw formation energy (meV per atom) = 1651.4
- space group = Pm-3m
- M_tot (μB/f.u.) = 2.9

Entry 2:
A plane-wave DFT calculation with PBE was carried out for a geometry-optimized TaAuBr3 structure.

```
TaAuBr3
1.0
5.1237 0.0000 0.0000
0.0000 5.1237 0.0000
0.0000 0.0000 5.1237
Ta Au Br
1 1 3
direct
0.0000 0.0000 0.0000
0.5000 0.5000 0.5000
0.0000 0.0000 0.5000
0.0000 0.5000 0.0000
0.5000 0.0000 0.0000
```

Properties
- raw formation energy (meV per atom) = 188.2
- space group = Pm-3m
- M_tot (μB/f.u.) = 0.0

Entry 3:
A plane-wave DFT calculation with PBE was carried out for a geometry-optimized TaAuBr2 structure.

```
TaAuBr2
1.0
3.1350 -4.5697 0.0000
3.1350 4.5697 0.0000
-1.2480 0.0000 2.9557
Ta Au Br
1 1 2
direct
0.0000 0.0000 0.0000
0.5000 0.5000 0.0000
0.0000 0.5000 0.0000
0.5000 0.0000 0.0000
```

Properties
- raw formation energy (meV per atom) = 563.0
- space group = C2/m
- M_tot (μB/f.u.) = 0.1